Density functional theory data (PBE) for a relaxed LaDy3Th2P6 crystal.

Unit cell a=17.8273 b=4.1046 c=8.1749 alpha=90.00 beta=102.92 gamma=90.00
Last column: nearest neighbours and their distance in Å.
Space group C2/m (No. 12)
One atom of each set of equivalent atoms:
La (0.0000, 0.0000, 0.0000) [2 per cell]  6 P 2.96
Dy (0.0000, 0.0000, 0.5000) [2 per cell]  6 P 2.84-2.88
Dy (0.1656, 0.5000, 0.8332) [4 per cell]  6 P 2.85-2.88
Th (0.1662, 0.5000, 0.3321) [4 per cell]  6 P 2.90-2.92
P (0.0007, 0.5000, 0.7402) [4 per cell]  3 Dy 2.84-2.87, 1 Th 2.90, 2 La 2.96
P (0.1655, 0.0000, 0.5866) [4 per cell]  3 Dy 2.88, 3 Th 2.92
P (0.1705, 0.0000, 0.0816) [4 per cell]  3 Dy 2.85-2.88, 2 Th 2.91, 1 La 2.96

Size of the total moment, μB/f.u.: 0.000
D(E_F), states/eV/f.u.: 3.749
ΔH_f (0 K), eV per atom: -1.59